Record 1
This record from Alexandria via LeMat-Bulk describes a geometry-optimized CaPr3Y7 structure. The functional is GGA-PBE.

Values from the calculation:
* formation energy: 2.55 eV/f.u.
* excess energy over the best structure of this formula in the dataset: 0.018 eV/atom

Structure (POSCAR):
```
CaPr3Y7
1.0
6.5260 -0.0006 0.4183
0.4029 7.7147 1.1151
-0.0266 0.0608 7.8050
Pr Y Ca
3 7 1
Cartesian
3.2630 -0.0003 0.2091
0.0485 1.3998 6.6347
0.3278 6.3757 2.2854
1.8582 3.2944 1.2669
1.7127 0.7011 3.5336
5.1897 7.0737 5.8047
5.2629 1.8276 2.4289
1.6394 5.9472 6.9094
0.1881 3.8877 4.4600
5.0441 4.4804 8.0714
3.4512 3.8874 4.6692
```

=====

Record 2
This record from Alexandria via LeMat-Bulk describes a geometry-optimized KCuIr2C structure. The functional is GGA-PBE.

Values from the calculation:
* formation energy: 18.48 eV/f.u.

Structure (POSCAR):
```
KCuIr2C
1.0
4.7624 0.0000 0.0000
0.0000 4.2104 0.0000
0.0000 0.0000 4.7624
K Ir C Cu
1 2 1 1
Cartesian
0.0000 0.0000 0.0000
2.3812 0.0000 0.0000
0.0000 0.0000 2.3812
0.0000 2.1052 0.0000
2.3812 2.1052 2.3812
```

=====

Record 3
This record from Alexandria via LeMat-Bulk describes a geometry-optimized HfPt2Cl structure. The functional is GGA-PBE.

Values from the calculation:
* excess energy over the best structure of this formula in the dataset: 0.113 eV/atom
* ΔE_f (raw): -38 kJ/mol of formula units

Structure (POSCAR):
```
HfPt2Cl
1.0
-5.4094 -0.6268 3.6932
-2.0898 -4.8787 -3.8890
-1.7146 -5.6134 2.3972
Cl Pt Hf
2 4 2
Cartesian
-3.7496 -2.7528 -0.0979
-3.7770 -6.6225 -0.7948
-2.4056 -4.5303 -1.3733
-7.8498 -9.0323 1.6227
-4.0960 -6.2698 1.7284
-4.0761 -2.4056 2.4251
-5.4368 -4.4965 2.9962
0.0000 0.0000 0.0000
```

=====

Record 4
This record from Alexandria via LeMat-Bulk describes a geometry-optimized HfZn2Cu2 structure. The functional is GGA-PBE.

Values from the calculation:
* formation energy: -0.27 eV/f.u.
* excess energy over the best structure of this formula in the dataset: 0.070 eV/atom

Structure (POSCAR):
```
HfZn2Cu2
1.0
-4.2869 3.7649 4.6789
-0.5176 -5.9589 4.3206
2.1996 0.8022 1.3698
Hf Cu Zn
2 4 4
Cartesian
-2.4023 -1.0970 4.4997
0.0000 0.0000 0.0000
-2.2194 -1.9776 7.4075
0.0021 -2.9614 4.4165
-2.6071 1.5696 5.9528
-0.3856 0.5858 2.9618
-2.7348 1.6124 3.4471
-4.0818 -0.4114 6.7951
-2.0697 -3.8064 5.5524
-0.7227 -1.7826 2.2044
```

=====

Record 5
This record from Alexandria via LeMat-Bulk describes a geometry-optimized Pr4GaPCl2 structure. The functional is GGA-PBE.

Values from the calculation:
* ΔE_f (raw): -1011 kJ/mol of formula units

Structure (POSCAR):
```
Pr4GaPCl2
1.0
-2.8680 2.1980 -2.2278
-5.2329 -4.9015 1.9007
-3.2124 2.1352 6.2420
Cl P Ga Pr
2 1 1 4
Cartesian
-3.2124 2.1352 6.2420
-3.0402 2.1666 2.0071
-4.2226 -1.3831 4.0714
-4.0505 -1.3518 -0.1636
-5.0765 1.4139 -0.1583
-6.2368 -1.9822 6.0731
-6.0659 -1.8806 1.9092
-5.2474 1.3123 4.0057
```

=====

Record 6
This record from Alexandria via LeMat-Bulk describes a geometry-optimized TmSc2Pd8 structure. The functional is GGA-PBE.

Values from the calculation:
* formation energy: -8.71 eV/f.u.

Structure (POSCAR):
```
TmSc2Pd8
1.0
4.0972 0.0000 0.0000
0.0000 6.5686 0.2605
-2.0486 -2.5009 6.8162
Pd Sc Tm
8 2 1
Cartesian
0.0000 1.5390 5.6419
0.0000 0.5532 2.0221
0.0000 -1.0249 4.3842
2.0486 3.5145 5.0545
2.0486 5.0925 2.6924
2.0486 2.5287 1.4347
2.0486 -0.4461 6.3224
0.0000 4.5138 0.7542
2.0486 0.7959 3.9006
0.0000 3.2718 3.1760
2.0486 0.0000 0.0000
```

=====

Record 7
This record from Alexandria via LeMat-Bulk describes a geometry-optimized K3Er2VSe6 structure. The functional is GGA-PBE.

Values from the calculation:
* ΔE_f (raw): -1656 kJ/mol of formula units

Structure (POSCAR):
```
K3Er2VSe6
1.0
7.0461 -0.0025 -0.0029
-3.5235 6.1018 -0.0029
-1.1778 -2.0394 7.6566
Se K Er V
6 3 2 1
Cartesian
-0.0765 -0.1325 6.1395
2.4213 4.1924 1.5114
3.4489 2.1502 6.1458
2.2060 -0.0020 1.5051
0.1388 4.0619 6.1458
-1.1042 1.9097 1.5051
1.1724 2.0300 3.8255
-2.3063 4.0390 3.8255
4.6510 0.0209 3.8255
0.0055 4.0637 -0.0029
3.5171 2.0356 -0.0029
0.0000 0.0000 0.0000
```

=====

Record 8
This record from Alexandria via LeMat-Bulk describes a geometry-optimized Tm4CoHg2 structure. The functional is GGA-PBE.

Values from the calculation:
* formation energy: -1.95 eV/f.u.
* excess energy over the best structure of this formula in the dataset: 0.000 eV/atom

Structure (POSCAR):
```
Tm4CoHg2
1.0
-1.0421 -3.3973 1.4257
6.6991 -3.2837 -2.9278
5.7770 2.5670 10.3394
Tm Co Hg
8 2 4
Cartesian
7.5899 -2.0603 0.6384
3.5761 -0.7136 0.9136
4.8862 1.3436 6.7731
6.8883 -0.2400 9.6045
8.0089 -2.8722 4.1513
4.5457 -3.8740 -0.7672
3.4251 -1.2418 4.6860
8.9000 -0.0031 6.4980
3.3496 -1.6418 -1.4639
2.8885 1.2835 5.1697
5.2706 -2.6931 2.5766
0.8622 -1.5218 2.1455
6.1634 -1.4209 6.2607
10.5718 -2.5922 6.6918
```

=====

Record 9
This record from Alexandria via LeMat-Bulk describes a geometry-optimized ZnCl2 structure. The functional is GGA-PBE.

Values from the calculation:
* ΔE_f (raw): -296 kJ/mol of formula units

Structure (POSCAR):
```
ZnCl2
1.0
3.5172 0.0000 0.0000
0.0000 5.9791 0.0000
0.0000 0.0000 6.4073
Cl Zn
4 2
Cartesian
0.0000 1.6934 4.1929
1.7586 1.2961 0.9893
0.0000 4.2856 2.2144
1.7586 4.6830 5.4181
1.7586 2.9895 3.2037
0.0000 0.0000 0.0000
```

=====

Record 10
This record from Alexandria via LeMat-Bulk describes a geometry-optimized GaCu2Au8 structure. The functional is GGA-PBE.

Values from the calculation:
* formation energy: -0.45 eV/f.u.
* excess energy over the best structure of this formula in the dataset: 0.000 eV/atom

Structure (POSCAR):
```
GaCu2Au8
1.0
4.1118 0.0000 -1.0950
-0.4715 6.3495 -1.7704
-0.2479 -0.3737 7.3364
Au Cu Ga
8 2 1
Cartesian
2.9525 4.7705 2.8190
2.2614 5.7646 0.2242
0.4399 1.2054 1.6519
-0.1754 4.5799 -0.6587
3.5678 1.3960 5.1296
1.1840 3.1506 4.4460
1.1310 0.2112 4.2467
2.2084 2.8252 0.0249
0.5028 3.8740 1.8880
2.8896 2.1018 2.5829
2.0559 0.0000 -0.5475
```

=====

Record 11
This record from Alexandria via LeMat-Bulk describes a geometry-optimized PmAl2Zn2 structure. The functional is GGA-PBE.

Values from the calculation:
* formation energy: -2.18 eV/f.u.
* excess energy over the best structure of this formula in the dataset: 0.000 eV/atom

Structure (POSCAR):
```
PmAl2Zn2
1.0
3.8861 0.0000 -1.5500
-0.6183 3.8366 -1.5500
0.2241 0.2631 6.2080
Zn Pm Al
2 1 2
Cartesian
1.4452 1.6967 3.6231
2.0467 2.4029 -0.5151
0.0000 0.0000 0.0000
0.6198 3.0089 1.5540
2.8720 1.0907 1.5540
```

=====

Record 12
This record from Alexandria via LeMat-Bulk describes a geometry-optimized Co2SbOs structure. The functional is GGA-PBE.

Values from the calculation:
* excess energy over the best structure of this formula in the dataset: 0.322 eV/atom
* ΔE_f (raw): 235 kJ/mol of formula units

Structure (POSCAR):
```
Co2SbOs
1.0
-2.7689 6.8737 3.4665
-4.7447 6.5329 1.3191
-5.0847 5.1109 3.8673
Co Sb Os
2 1 1
Cartesian
-3.1917 4.6913 2.1921
-12.5297 18.4166 8.6058
-9.4117 13.8337 6.4642
-6.3628 9.3523 4.3702
```

=====

Record 13
This record from Alexandria via LeMat-Bulk describes a geometry-optimized BaAg2Hg8 structure. The functional is GGA-PBE.

Values from the calculation:
* formation energy: -0.52 eV/f.u.

Structure (POSCAR):
```
BaAg2Hg8
1.0
-3.8179 -4.7083 -4.1647
-4.1221 -1.8035 5.8176
-3.9909 4.5027 -1.4319
Hg Ba Ag
8 1 2
Cartesian
-4.6666 2.0247 -0.7314
-9.2803 -1.7591 0.2291
-4.8690 -2.9859 -2.4280
-5.0457 -1.2980 3.3724
-7.0619 0.9767 2.6491
-6.8851 -0.7111 -3.1514
-2.6505 -0.2500 -0.0080
-7.2642 -4.0338 0.9524
-5.9654 -1.0046 0.1105
-2.0610 -0.9017 2.9088
-1.9089 -2.3541 -2.0824
```

=====

Record 14
This record from Alexandria via LeMat-Bulk describes a geometry-optimized Pm4Sm3Tm5 structure. The functional is GGA-PBE.

Values from the calculation:
* formation energy: 2.72 eV/f.u.

Structure (POSCAR):
```
Pm4Sm3Tm5
1.0
-3.6246 -4.2616 1.9878
-5.5508 -2.2533 -6.0857
5.3363 -7.8957 1.6699
Pm Tm Sm
4 5 3
Cartesian
0.2373 -9.8141 -2.8740
-6.2848 -8.7215 -3.5578
2.4457 -5.6890 1.1298
-4.0764 -4.5965 0.4460
-0.6088 -3.2824 0.7193
-1.9195 -7.2053 -1.2140
-3.2302 -11.1281 -3.1473
-2.6931 -2.8584 -2.1722
-1.1459 -11.5521 -0.2559
-0.1072 -5.0745 -2.2079
0.4750 -8.5520 0.2649
-4.3140 -5.8585 -2.6930
```

=====

Record 15
This record from Alexandria via LeMat-Bulk describes a geometry-optimized Dy3Er4Tm8 structure. The functional is GGA-PBE.

Values from the calculation:
* formation energy: 6.23 eV/f.u.
* excess energy over the best structure of this formula in the dataset: 0.264 eV/atom

Structure (POSCAR):
```
Dy3Er4Tm8
1.0
-5.6098 2.1411 -2.7636
-1.5730 -3.6305 8.2509
4.4353 6.8356 4.1635
Tm Dy Er
8 3 4
Cartesian
0.6942 0.8698 3.2477
0.1217 5.2781 3.8081
-3.4417 4.4765 6.4032
0.5975 0.1504 6.7744
-2.2298 1.9977 1.8375
-0.5177 3.3486 7.8133
2.2648 3.0548 5.6401
-2.8691 0.0682 5.8427
-3.5914 -0.7447 2.7437
-0.5873 4.4884 0.7000
-1.3737 2.6731 4.8254
2.2177 3.4178 2.0817
-2.8049 1.0706 -1.3818
0.0000 0.0000 0.0000
-0.7865 -1.8152 4.1255
```

=====

Record 16
This record from Alexandria via LeMat-Bulk describes a geometry-optimized MnCrOs2 structure. The functional is GGA-PBE.

Values from the calculation:
* formation energy: 0.40 eV/f.u.

Structure (POSCAR):
```
MnCrOs2
1.0
-1.8297 -1.8888 -0.5353
2.6775 -2.2118 -1.3477
0.7174 -2.0544 4.7970
Os Cr Mn
2 1 1
Cartesian
0.6087 -2.5796 0.2945
0.7095 -2.0317 4.7439
0.3641 -1.0427 2.4346
0.9590 -3.5826 2.6364
```

=====

Record 17
This record from Alexandria via LeMat-Bulk describes a geometry-optimized La4NdSm2 structure. The functional is GGA-PBE.

Values from the calculation:
* formation energy: 1.13 eV/f.u.
* excess energy over the best structure of this formula in the dataset: 0.000 eV/atom

Structure (POSCAR):
```
La4NdSm2
1.0
-6.2308 -3.3716 -1.6922
-3.0704 0.5940 10.1274
-0.9026 6.9945 -0.6842
Nd La Sm
2 8 4
Cartesian
-1.5352 0.2970 5.0637
-4.6506 -1.3888 4.2176
-6.0475 2.5620 1.2114
-3.0753 4.8452 1.1063
-5.3467 -0.9726 0.7592
-7.3441 2.8127 5.5021
-4.1563 1.6549 6.5396
-2.8597 1.4042 2.2489
-4.8571 5.1895 6.9918
-7.1285 -0.6284 6.6447
-0.4513 3.4973 -0.3421
0.0000 0.0000 0.0000
-1.9865 3.7943 4.7216
-3.5667 1.8115 -1.1882
```

=====

Record 18
This record from Alexandria via LeMat-Bulk describes a geometry-optimized SrAl2SiS6 structure. The functional is GGA-PBE.

Values from the calculation:
* ΔE_f (raw): -1122 kJ/mol of formula units

Structure (POSCAR):
```
SrAl2SiS6
1.0
6.7075 0.7812 0.8107
2.9994 9.1550 -0.1078
2.9994 -0.4470 9.1447
S Al Sr Si
12 4 2 2
Cartesian
9.1699 6.6703 6.3126
5.8161 5.6704 6.4943
6.0669 1.4567 5.8699
3.2322 0.0925 7.4489
6.5860 7.8310 0.7739
3.5365 2.8189 3.5351
9.9932 4.0679 8.5797
6.8903 3.8188 3.3533
9.4742 9.3966 2.3987
6.1204 1.6582 9.0737
6.6395 8.0325 3.9777
2.7131 5.4213 1.2679
7.1060 7.5459 6.1712
5.6004 1.9432 3.6764
10.4598 6.2779 8.1748
2.2466 3.2113 1.6728
8.0301 3.6437 6.3755
4.6763 5.8455 3.4721
8.0301 7.8293 2.3423
4.6763 1.6599 7.5053
```

=====

Record 19
This record from Alexandria via LeMat-Bulk describes a geometry-optimized Hf2RhSF structure. The functional is GGA-PBE.

Values from the calculation:
* ΔE_f (raw): -218 kJ/mol of formula units

Structure (POSCAR):
```
Hf2RhSF
1.0
-1.0965 -4.0074 -0.8411
3.9901 -1.5050 1.9687
-1.9492 -0.2549 3.7556
Hf S F Rh
2 1 1 1
Cartesian
-0.9746 -0.1275 1.8778
-0.5483 -2.0037 -0.4206
1.9950 -0.7525 0.9844
0.0000 0.0000 0.0000
0.4722 -2.8837 2.4416
```

=====

Record 20
This record from Alexandria via LeMat-Bulk describes a geometry-optimized Li2Cu5Ni5 structure. The functional is GGA-PBE.

Values from the calculation:
* formation energy: 0.05 eV/f.u.

Structure (POSCAR):
```
Li2Cu5Ni5
1.0
2.4341 0.0000 0.5664
1.5897 6.3992 -1.3181
-0.9744 -4.3772 9.7012
Cu Li Ni
5 2 5
Cartesian
0.1790 -1.0956 4.7441
0.9830 0.1490 6.8025
2.8703 3.1176 4.2054
0.0000 0.0000 0.0000
2.0663 1.8730 2.1470
3.4037 4.0614 1.9130
-0.3544 -2.0394 7.0364
2.6783 4.2360 -0.4831
0.7161 -0.2147 2.4361
2.3332 2.2367 6.5133
1.5247 1.0110 4.4747
0.3710 -2.2140 9.4326
```

=====

Record 21
This record from Alexandria via LeMat-Bulk describes a geometry-optimized NbVHRh2 structure. The functional is GGA-PBE.

Values from the calculation:
* excess energy over the best structure of this formula in the dataset: 0.044 eV/atom

Structure (POSCAR):
```
NbVHRh2
1.0
-3.2875 0.2176 -2.1009
-0.2964 -3.8958 0.0602
-2.1692 0.2178 3.4170
V Nb Rh H
1 1 2 1
Cartesian
-2.8765 -1.7302 0.6881
-1.0846 0.1089 1.7085
-1.6438 0.1088 -1.0504
-0.1482 -1.9479 0.0301
0.0000 0.0000 0.0000
```

=====

Record 22
This record from Alexandria via LeMat-Bulk describes a geometry-optimized CaTc2Br structure. The functional is GGA-PBE.

Values from the calculation:
* excess energy over the best structure of this formula in the dataset: 0.490 eV/atom
* ΔE_f (raw): 165 kJ/mol of formula units

Structure (POSCAR):
```
CaTc2Br
1.0
6.2454 0.0050 0.0049
-3.9516 4.8363 0.0049
0.9136 1.9283 2.6084
Br Tc Ca
1 2 1
Cartesian
3.5795 0.9667 1.3066
1.1469 2.4206 0.0049
0.0000 0.0000 0.0000
-1.5190 3.3823 1.3066
```